Crystalline HfZr2Te at its relaxed geometry, computed with PBE.

Geometry as extended XYZ:
```
8
Lattice="-2.131 2.131 10.541 2.131 -2.131 10.541 2.131 2.131 -10.541" Properties=species:S:1:pos:R:3 pbc="T T T"
Hf 0.000 0.000 0.000
Hf 0.000 2.131 5.271
Zr 1.066 -1.045 7.906
Zr 1.086 1.066 2.635
Zr 1.066 3.176 -2.635
Zr 1.045 1.066 13.177
Te 2.131 0.000 5.271
Te 0.000 0.000 10.541
```

Calculated values
As for the raw formation energy: 0.0563 eV/atom. Its symmetry is No. 122.



Crystalline Hf2ZrTe at its relaxed geometry, computed with PBE.

Geometry as extended XYZ:
```
8
Lattice="-4.141 4.141 2.890 4.141 -4.141 2.890 4.141 4.141 -2.890" Properties=species:S:1:pos:R:3 pbc="T T T"
Hf 2.070 1.794 -0.723
Hf 2.346 -2.070 3.613
Hf 2.070 2.346 2.168
Hf 1.794 6.211 0.723
Zr 4.141 0.000 1.445
Zr 0.000 0.000 2.890
Te 0.000 0.000 0.000
Te 0.000 4.141 1.445
```

Calculated values
As for the raw formation energy: 0.1966 eV/atom. Its symmetry is No. 122.



Crystalline HfTh3 at its relaxed geometry, computed with PBE.

Geometry as extended XYZ:
```
4
Lattice="4.920 0.000 0.000 0.000 4.920 0.000 0.000 0.000 4.920" Properties=species:S:1:pos:R:3 pbc="T T T"
Hf 0.000 0.000 0.000
Th 0.000 2.460 2.460
Th 2.460 0.000 2.460
Th 2.460 2.460 0.000
```

Calculated values
The formation energy comes out at 3.24 kcal/mol of atoms. Its symmetry is No. 221.



Crystalline HfTh3 at its relaxed geometry, computed with PBE.

Geometry as extended XYZ:
```
4
Lattice="-1.732 5.757 2.999 1.732 -5.757 2.999 1.732 5.757 -2.999" Properties=species:S:1:pos:R:3 pbc="T T T"
Hf 0.000 0.000 0.000
Th 1.732 2.776 -1.082
Th 1.732 0.000 2.846
Th 0.000 2.982 1.916
```

Calculated values
The formation energy comes out at 3.29 kcal/mol of atoms. Its symmetry is No. 44.



Number 1: uncorrected energy -7.49 eV/atom. Number 2: uncorrected energy -7.70 eV/atom. Number 3: uncorrected energy -7.91 eV/atom. Number 4: uncorrected energy -7.91 eV/atom.